1.
Entry from the Alexandria database: a geometry-optimized TbPr2Pt9 structure (GGA-PBE).

The formation energy is -0.90 eV/atom. The space-group type is No. 166. The calculation puts the energy at -6.61 eV per atom.

Lattice parameters (Å, degrees): 5.4581 5.4581 9.5042 73.31 73.31 60.00
Element x y z (fractional)
Pt: 0.4147 0.9196 0.2511
Pt: 0.5853 0.0804 0.7489
Pt: 0.0804 0.5853 0.7489
Pt: 0.4147 0.4147 0.2511
Pt: 0.6670 0.6670 0.9990
Pt: 0.5853 0.5853 0.7489
Pt: 0.3330 0.3330 0.0010
Pt: 0.5000 0.5000 0.5000
Pt: 0.9196 0.4147 0.2511
Pr: 0.8613 0.8613 0.4161
Pr: 0.1387 0.1387 0.5839
Tb: 0.0000 0.0000 0.0000

***

2.
Entry from the Alexandria database: a geometry-optimized TbPr3Pt8 structure (GGA-PBE).

The formation energy is -1.06 eV/atom. The space-group type is No. 160. The calculation puts the energy at -6.67 eV per atom.

Lattice parameters (Å, degrees): 5.5143 5.5143 9.5581 73.23 73.23 60.00
Element x y z (fractional)
Pr: 0.9993 0.9993 0.0020
Pr: 0.3750 0.3750 0.8749
Pr: 0.5007 0.5007 0.4980
Pt: 0.1877 0.1877 0.4369
Pt: 0.9376 0.4397 0.6851
Pt: 0.4369 0.4369 0.1899
Pt: 0.9376 0.9376 0.6851
Pt: 0.9363 0.4369 0.1899
Pt: 0.4369 0.9363 0.1899
Pt: 0.4397 0.9376 0.6851
Pt: 0.6876 0.6876 0.9373
Tb: 0.8747 0.8747 0.3759

***

3.
Entry from the Alexandria database: a geometry-optimized Tb2PrPt structure (GGA-PBE).

The formation energy is -0.67 eV/atom. The value obtained for the distance to the lowest polymorph of the same formula is 0.000 eV per atom. The space-group type is No. 62. The calculation puts the energy at -5.69 eV per atom.

Lattice parameters (Å, degrees): 6.6157 7.1891 9.7248 90.00 90.00 90.00
Element x y z (fractional)
Tb: 0.8277 0.3221 0.5626
Tb: 0.3277 0.1779 0.0626
Tb: 0.1723 0.6779 0.4374
Tb: 0.6723 0.8221 0.9374
Tb: 0.3277 0.1779 0.4374
Tb: 0.6723 0.8221 0.5626
Tb: 0.8277 0.3221 0.9374
Tb: 0.1723 0.6779 0.0626
Pr: 0.3652 0.4765 0.7500
Pr: 0.1348 0.9765 0.7500
Pr: 0.8652 0.0235 0.2500
Pr: 0.6348 0.5235 0.2500
Pt: 0.4274 0.8857 0.2500
Pt: 0.0726 0.3857 0.2500
Pt: 0.9274 0.6143 0.7500
Pt: 0.5726 0.1143 0.7500

***

4.
Entry from the Alexandria database: a geometry-optimized Tb3PrPt structure (GGA-PBE).

The formation energy is -0.41 eV/atom. The value obtained for the distance to the lowest polymorph of the same formula is 0.000 eV per atom. The space-group type is No. 31. The calculation puts the energy at -5.35 eV per atom.

Lattice parameters (Å, degrees): 6.1628 6.7813 7.7167 90.02 90.00 90.00
Element x y z (fractional)
Tb: 0.4157 0.3275 0.2009
Tb: 0.9270 0.4833 0.9446
Tb: 0.4268 0.8695 0.4445
Tb: 0.9156 0.0253 0.7007
Tb: 0.9268 0.4833 0.4570
Tb: 0.4269 0.8695 0.9569
Pt: 0.1786 0.6875 0.7007
Pt: 0.6786 0.6653 0.2007
Pr: 0.4301 0.3165 0.7009
Pr: 0.9302 0.0363 0.2007

***

5.
Entry from the Alexandria database: a geometry-optimized TbPrPt2 structure (GGA-PBE).

The formation energy is -1.08 eV/atom. The value obtained for the distance to the lowest polymorph of the same formula is 0.103 eV per atom. The space-group type is No. 166. The calculation puts the energy at -6.45 eV per atom.

Lattice parameters (Å, degrees): 4.1582 4.1582 7.1933 73.20 73.20 60.00
Element x y z (fractional)
Pt: 0.7456 0.7456 0.7632
Pt: 0.2544 0.2544 0.2368
Pr: 0.5000 0.5000 0.5000
Tb: 0.0000 0.0000 0.0000

***

6.
Entry from the Alexandria database: a geometry-optimized Tb2PrPt9 structure (GGA-PBE).

The formation energy is -0.95 eV/atom. The space-group type is No. 166. The calculation puts the energy at -6.66 eV per atom.

Lattice parameters (Å, degrees): 5.4470 5.4470 9.3946 73.15 73.15 60.00
Element x y z (fractional)
Pt: 0.9190 0.4120 0.2571
Pt: 0.4120 0.4120 0.2571
Pt: 0.4120 0.9190 0.2571
Pt: 0.3330 0.3330 0.0009
Pt: 0.5880 0.5880 0.7429
Pt: 0.6670 0.6670 0.9991
Pt: 0.5880 0.0810 0.7429
Pt: 0.0810 0.5880 0.7429
Pt: 0.5000 0.5000 0.5000
Tb: 0.1398 0.1398 0.5806
Tb: 0.8602 0.8602 0.4194
Pr: 0.0000 0.0000 0.0000

***

7.
Entry from the Alexandria database: a geometry-optimized Tb2PrPt structure (GGA-PBE).

The formation energy is -0.54 eV/atom. The value obtained for the distance to the lowest polymorph of the same formula is 0.130 eV per atom. The space-group type is No. 160. The calculation puts the energy at -5.56 eV per atom.

Lattice parameters (Å, degrees): 3.9919 3.9919 9.3888 77.73 77.73 60.00
Element x y z (fractional)
Pt: 0.6656 0.6656 0.0031
Tb: 0.0586 0.0586 0.8243
Tb: 0.2739 0.2739 0.1783
Pr: 0.5019 0.5019 0.4943

***

8.
Entry from the Alexandria database: a geometry-optimized Tb3PrPt2 structure (GGA-PBE).

The formation energy is -0.78 eV/atom. The value obtained for the distance to the lowest polymorph of the same formula is 0.118 eV per atom. The space-group type is No. 12. The calculation puts the energy at -5.91 eV per atom.

Lattice parameters (Å, degrees): 5.2405 10.9392 7.4345 127.63 90.00 103.86
Element x y z (fractional)
Pr: 0.8069 0.6138 0.9454
Pr: 0.1931 0.3862 0.0546
Pt: 0.7941 0.5882 0.3210
Pt: 0.4867 0.9735 0.1670
Pt: 0.5133 0.0265 0.8330
Pt: 0.2059 0.4118 0.6790
Tb: 0.3377 0.6754 0.6666
Tb: 0.6030 0.2060 0.6772
Tb: 0.0340 0.0680 0.2934
Tb: 0.6623 0.3246 0.3334
Tb: 0.3970 0.7940 0.3228
Tb: 0.9660 0.9320 0.7066

***

9.
Entry from the Alexandria database: a geometry-optimized Tb3Pr2Pt4 structure (GGA-PBE).

The formation energy is -0.98 eV/atom. The value obtained for the distance to the lowest polymorph of the same formula is 0.139 eV per atom. The space-group type is No. 64. The calculation puts the energy at -6.27 eV per atom.

Lattice parameters (Å, degrees): 7.4059 7.8242 8.7476 90.00 115.04 90.00
Element x y z (fractional)
Pt: 0.6945 0.5490 0.3889
Pt: 0.7163 0.7500 0.9325
Pt: 0.3055 0.4510 0.6111
Pt: 0.2163 0.7500 0.9325
Pt: 0.8055 0.0490 0.6111
Pt: 0.1945 0.9510 0.3889
Pt: 0.7837 0.2500 0.0675
Pt: 0.2837 0.2500 0.0675
Tb: 0.4611 0.2500 0.4223
Tb: 0.0000 0.0000 0.0000
Tb: 0.5389 0.7500 0.5777
Tb: 0.9611 0.2500 0.4223
Tb: 0.5000 0.5000 0.0000
Tb: 0.0389 0.7500 0.5777
Pr: 0.3997 0.0979 0.7993
Pr: 0.8997 0.4021 0.7993
Pr: 0.1003 0.5979 0.2007
Pr: 0.6003 0.9021 0.2007

***

10.
Entry from the Alexandria database: a geometry-optimized TbPr2Pt structure (GGA-PBE).

The formation energy is -0.45 eV/atom. The value obtained for the distance to the lowest polymorph of the same formula is 0.179 eV per atom. The space-group type is No. 123. The calculation puts the energy at -5.51 eV per atom.

Lattice parameters (Å, degrees): 3.7223 3.7223 8.4908 90.00 90.00 90.00
Element x y z (fractional)
Pr: 0.0000 0.0000 0.2007
Pr: 0.0000 0.0000 0.7993
Pt: 0.5000 0.5000 0.0000
Tb: 0.5000 0.5000 0.5000

***

11.
Entry from the Alexandria database: a geometry-optimized TbPrPt2 structure (GGA-PBE).

The formation energy is -1.18 eV/atom. The value obtained for the distance to the lowest polymorph of the same formula is 0.000 eV per atom. The space-group type is No. 38. The calculation puts the energy at -6.56 eV per atom.

Lattice parameters (Å, degrees): 3.8778 4.5423 5.7327 90.00 109.79 90.00
Element x y z (fractional)
Tb: 0.4469 0.5000 0.4324
Pt: 0.1689 0.5000 0.8773
Pt: 0.9942 0.0000 0.5269
Pr: 0.7210 0.0000 0.9814

***

12.
Entry from the Alexandria database: a geometry-optimized Tb4PrPt4 structure (GGA-PBE).

The formation energy is -1.03 eV/atom. The space-group type is No. 86. The calculation puts the energy at -6.30 eV per atom.

Lattice parameters (Å, degrees): 5.7608 9.1719 9.1719 90.00 90.00 90.00
Element x y z (fractional)
Pt: 0.0782 0.8733 0.7075
Pt: 0.0782 0.1267 0.2925
Pt: 0.9218 0.2925 0.8733
Pt: 0.4218 0.6267 0.7925
Pt: 0.4218 0.3733 0.2075
Pt: 0.9218 0.7075 0.1267
Pt: 0.5782 0.2075 0.6267
Pt: 0.5782 0.7925 0.3733
Tb: 0.0784 0.1691 0.6002
Tb: 0.9216 0.6002 0.8309
Tb: 0.9216 0.3998 0.1691
Tb: 0.0784 0.8309 0.3998
Tb: 0.4216 0.3309 0.8998
Tb: 0.5784 0.8998 0.6691
Tb: 0.4216 0.6691 0.1002
Tb: 0.5784 0.1002 0.3309
Pr: 0.0000 0.0000 0.0000
Pr: 0.5000 0.5000 0.5000